Compound: Nd4Sb2C
Source: the Alexandria database
Functional: GGA-PBE
Structure: optimized geometry

Lattice parameters (Å, degrees): 8.9045 8.9045 8.9045 147.47 147.47 46.67
With the nearest neighbours (Å) after each atom.
Fractional positions:
Nd1 0.0000 0.5000 0.5000  2 C 2.49
Nd2 0.1599 0.1599 0.0000  1 C 2.61
Nd3 0.5000 0.0000 0.5000  2 C 2.49
Nd4 0.8401 0.8401 0.0000  1 C 2.61
Sb1 0.3595 0.3595 0.0000  9 Nd 3.26-3.54
Sb2 0.6405 0.6405 0.0000  9 Nd 3.26-3.54
C1 0.0000 0.0000 0.0000  6 Nd 2.49-2.61

Calculated values
The value obtained for the energy above the most stable polymorph in this dataset is 0.0 meV per atom. The size of the total moment is 0.0 μB per cell.

Compound: Na2CdN2
Source: the Alexandria database
Functional: GGA-PBE
Structure: optimized geometry

Lattice parameters (Å, degrees): 8.5975 8.5975 3.0983 90.00 90.00 90.00
With the nearest neighbours (Å) after each atom.
Fractional positions:
Na1 0.2137 0.2863 0.0000  2 N 2.55
Na2 0.2863 0.7863 0.0000  2 N 2.55
Na3 0.7137 0.2137 0.0000  2 N 2.55
Na4 0.7863 0.7137 0.0000  2 N 2.55
Cd1 0.0000 0.0000 0.5000  2 Cd 3.10, 8 Na 3.44
Cd2 0.5000 0.5000 0.5000  2 Cd 3.10, 8 Na 3.44
N1 0.0473 0.4527 0.5000  1 N 1.15
N2 0.4527 0.9527 0.5000  1 N 1.15
N3 0.5473 0.0473 0.5000  1 N 1.15
N4 0.9527 0.5473 0.5000  1 N 1.15

Calculated values
The size of the total moment is 0.3 μB per cell. The calculation puts the final energy at -3.99 eV/atom.

Compound: Cd2HgAs
Source: the Alexandria database
Functional: GGA-PBE
Structure: optimized geometry

Lattice parameters (Å, degrees): 2.8416 4.0545 8.0315 90.00 90.00 90.00
With the nearest neighbours (Å) after each atom.
Fractional positions:
Cd1 0.0000 0.0000 0.2367  2 Cd 2.84, 4 As 3.12
Cd2 0.0000 0.0000 0.7633  2 Cd 2.84, 4 As 3.12
Hg1 0.5000 0.5000 0.5000  2 Hg 2.84
As1 0.5000 0.5000 0.0000  2 As 2.84, 8 Cd 3.12

Calculated values
The formation energy from the elements comes out at 0.11 eV per atom. The value obtained for the energy above the most stable polymorph in this dataset is 90.9 meV per atom. The size of the total moment is 0.0 μB per cell.

Compound: Sc4Ag3Sn
Source: the Alexandria database
Functional: GGA-PBE
Structure: optimized geometry

Lattice parameters (Å, degrees): 4.8888 4.8888 6.9913 90.00 90.00 90.00
With the nearest neighbours (Å) after each atom.
Fractional positions:
Sc1 0.0000 0.5000 0.2416  6 Ag 2.97-3.04, 2 Sn 3.04
Sc2 0.0000 0.5000 0.7584  6 Ag 2.97-3.04, 2 Sn 3.04
Sc3 0.5000 0.0000 0.2416  6 Ag 2.97-3.04, 2 Sn 3.04
Sc4 0.5000 0.0000 0.7584  6 Ag 2.97-3.04, 2 Sn 3.04
Ag1 0.0000 0.0000 0.0000  8 Sc 2.97
Ag2 0.0000 0.0000 0.5000  8 Sc 3.04
Ag3 0.5000 0.5000 0.0000  8 Sc 2.97
Sn1 0.5000 0.5000 0.5000  8 Sc 3.04

Calculated values
The formation energy from the elements comes out at -0.38 eV per atom. The size of the total moment is 0.0 μB per cell.

Compound: Nd3Dy13
Source: the Alexandria database
Functional: GGA-PBE
Structure: optimized geometry

Lattice parameters (Å, degrees): 7.2866 8.4808 8.4808 84.20 90.00 90.00
With the nearest neighbours (Å) after each atom.
Fractional positions:
Nd1 0.0000 0.0000 0.0000  10 Dy 3.51-3.64, 2 Nd 3.67
Nd2 0.2515 0.7471 0.7471  9 Dy 3.55-3.66, 3 Nd 3.62-3.67
Nd3 0.7485 0.7471 0.7471  9 Dy 3.55-3.66, 3 Nd 3.62-3.67
Dy1 0.0000 0.4142 0.9167  3 Nd 3.51-3.55, 9 Dy 3.53-3.64
Dy2 0.0000 0.4969 0.4969  10 Dy 3.51-3.64, 2 Nd 3.64
Dy3 0.0000 0.9167 0.4142  3 Nd 3.51-3.55, 9 Dy 3.53-3.64
Dy4 0.2502 0.2495 0.2495  11 Dy 3.50-3.65, 1 Nd 3.63
Dy5 0.2510 0.1680 0.6629  10 Dy 3.50-3.66, 2 Nd 3.57
Dy6 0.2510 0.6629 0.1680  10 Dy 3.50-3.66, 2 Nd 3.57
Dy7 0.5000 0.0000 0.0000  8 Dy 3.50-3.63, 4 Nd 3.64-3.66
Dy8 0.5000 0.4125 0.9184  10 Dy 3.50-3.64, 2 Nd 3.55
Dy9 0.5000 0.4970 0.4970  10 Dy 3.50-3.64, 2 Nd 3.63
Dy10 0.5000 0.9184 0.4125  10 Dy 3.50-3.64, 2 Nd 3.55
Dy11 0.7490 0.1680 0.6629  10 Dy 3.50-3.66, 2 Nd 3.57
Dy12 0.7490 0.6629 0.1680  10 Dy 3.50-3.66, 2 Nd 3.57
Dy13 0.7498 0.2495 0.2495  11 Dy 3.50-3.65, 1 Nd 3.63

Calculated values
The formation energy from the elements comes out at 0.02 eV per atom. The size of the total moment is 0.0 μB per cell.

Compound: NaCd2Br6
Source: the Alexandria database
Functional: GGA-PBE
Structure: optimized geometry

Lattice parameters (Å, degrees): 9.9826 9.9826 7.5180 101.07 101.07 85.50
With the nearest neighbours (Å) after each atom.
Fractional positions:
Na1 0.0621 0.9379 0.7500  4 Br 2.85-2.88
Na2 0.9379 0.0621 0.2500  4 Br 2.85-2.88
Cd1 0.2192 0.3647 0.7472  4 Br 2.61-2.68
Cd2 0.3647 0.2192 0.2472  4 Br 2.61-2.68
Cd3 0.6353 0.7808 0.7528  4 Br 2.61-2.68
Cd4 0.7808 0.6353 0.2528  4 Br 2.61-2.68
Br1 0.0226 0.1950 0.6221  1 Cd 2.61, 2 Na 2.85-2.88
Br2 0.1071 0.5727 0.9599  1 Cd 2.68, 1 Br 2.89
Br3 0.1950 0.0226 0.1221  1 Cd 2.61, 2 Na 2.85-2.88
Br4 0.2884 0.4456 0.4622  2 Cd 2.65-2.66
Br5 0.4273 0.8929 0.5401  1 Cd 2.68, 1 Br 2.89
Br6 0.4456 0.2884 0.9622  2 Cd 2.65-2.66
Br7 0.5544 0.7116 0.0378  2 Cd 2.65-2.66
Br8 0.5727 0.1071 0.4599  1 Cd 2.68, 1 Br 2.89
Br9 0.7116 0.5544 0.5378  2 Cd 2.65-2.66
Br10 0.8050 0.9774 0.8779  1 Cd 2.61, 2 Na 2.85-2.88
Br11 0.8929 0.4273 0.0401  1 Cd 2.68, 1 Br 2.89
Br12 0.9774 0.8050 0.3779  1 Cd 2.61, 2 Na 2.85-2.88

Calculated values
The size of the total moment is 1.9 μB per cell. The calculation puts the final energy at -2.27 eV/atom.

Compound: Er4Ga3
Source: the Alexandria database
Functional: GGA-PBE
Structure: optimized geometry

Lattice parameters (Å, degrees): 8.0261 8.0261 8.0261 113.37 113.37 113.37
With the nearest neighbours (Å) after each atom.
Fractional positions:
Er1 0.0000 0.0000 0.0000  8 Er 3.16-3.31, 6 Ga 3.30
Er2 0.0782 0.6226 0.7698  7 Ga 3.02-3.35, 2 Er 3.31-3.34
Er3 0.2302 0.9218 0.3774  7 Ga 3.02-3.35, 2 Er 3.31-3.34
Er4 0.3774 0.2302 0.9218  7 Ga 3.02-3.35, 2 Er 3.31-3.34
Er5 0.5000 0.5000 0.5000  6 Ga 3.00, 2 Er 3.16
Er6 0.6226 0.7699 0.0782  7 Ga 3.02-3.35, 2 Er 3.31-3.34
Er7 0.7699 0.0782 0.6226  7 Ga 3.02-3.35, 2 Er 3.31-3.34
Er8 0.9218 0.3774 0.2302  7 Ga 3.02-3.35, 2 Er 3.31-3.34
Ga1 0.1231 0.2491 0.5187  9 Er 3.00-3.35
Ga2 0.2491 0.5187 0.1231  9 Er 3.00-3.35
Ga3 0.4813 0.8769 0.7509  9 Er 3.00-3.35
Ga4 0.5187 0.1231 0.2491  9 Er 3.00-3.35
Ga5 0.7509 0.4813 0.8769  9 Er 3.00-3.35
Ga6 0.8769 0.7509 0.4813  9 Er 3.00-3.35

Calculated values
The formation energy from the elements comes out at -0.47 eV per atom. The size of the total moment is 0.0 μB per cell.

Compound: B2HPd
Source: the Alexandria database
Functional: GGA-PBE
Structure: optimized geometry

Lattice parameters (Å, degrees): 3.6353 3.6353 3.6353 60.00 60.00 60.00
With the nearest neighbours (Å) after each atom.
Fractional positions:
B1 0.2500 0.2500 0.2500  4 H 2.23, 4 Pd 2.23
B2 0.7500 0.7500 0.7500  4 H 2.23, 4 Pd 2.23
H1 0.0000 0.0000 0.0000  8 B 2.23
Pd1 0.5000 0.5000 0.5000  8 B 2.23

Calculated values
The value obtained for the energy above the most stable polymorph in this dataset is 711.7 meV per atom. The size of the total moment is 0.0 μB per cell.